(1)
The following is a DFT calculation (PBE) of a geometry-optimized Cs2CdI4 structure.

```
14
Lattice="8.065 0.000 0.000 0.000 8.473 0.000 -3.848 0.000 10.538" Properties=species:S:1:pos:R:3 pbc="T T T"
Cs 1.451 0.000 0.360
Cs 0.165 0.025 6.231
Cs 4.052 4.261 4.307
Cs 2.767 4.236 10.179
Cd -1.468 4.270 8.188
Cd 5.685 0.033 2.350
I -0.789 6.272 3.000
I -0.775 2.250 3.024
I 2.693 4.291 0.479
I 0.956 4.252 6.794
I 3.262 0.016 3.744
I 1.524 0.055 10.059
I 4.992 6.487 7.514
I 5.007 2.036 7.538
```

Values from the calculation:
ΔE to the lowest computed polymorph in eV per atom: 0.000
SG: P2_1

***

(2)
The following is a DFT calculation (PBE) of a geometry-optimized CsCdIn2Ir structure.

```
5
Lattice="5.256 0.000 0.000 0.000 5.256 0.000 0.000 0.000 5.473" Properties=species:S:1:pos:R:3 pbc="T T T"
Cs 0.000 0.000 0.000
Cd 2.628 2.628 0.000
In 0.000 2.628 2.737
In 2.628 0.000 2.737
Ir 2.628 2.628 2.737
```

Values from the calculation:
Total magnetization in μB/f.u.: 0.00
Energy in eV/atom: -3.3897
SG: P4/mmm

***

(3)
The following is a DFT calculation (PBE) of a geometry-optimized CsCdIrSe3 structure.

```
12
Lattice="2.023 -8.083 0.000 2.023 8.083 0.000 0.000 0.000 10.307" Properties=species:S:1:pos:R:3 pbc="T T T"
Cs 2.023 4.082 7.730
Cs 2.023 -4.082 2.577
Cd 2.023 0.721 2.577
Cd 2.023 -0.721 7.730
Ir 0.000 0.000 0.000
Ir 0.000 0.000 5.154
Se 2.023 7.102 2.577
Se 2.023 1.637 0.176
Se 2.023 1.637 4.978
Se 2.023 -1.637 5.329
Se 2.023 -1.637 10.131
Se 2.023 -7.102 7.730
```

Values from the calculation:
Total magnetization in μB/f.u.: 0.00
Energy in eV/atom: -3.9552
SG: Cmcm